[1]
The following is a DFT calculation (PBEsol) of an optimized crystal structure of NiIr2Ru.

Values from the calculation:
total magnetic moment = 0.00 Bohr magnetons per cell
electronic total energy = -71.62 eV for the cell shown
formation energy = 0.041 eV per atom

a b c (Å): 3.7071 3.7071 7.5985
angles (deg): 90.00 90.00 90.00
Last column: nearest neighbours and their distance in Å.
Space group I-4m2 (No. 119)
Asymmetric unit:
Ni: 0.0000 0.0000 0.0000 (multiplicity 2)  8 Ir 2.62-2.65, 4 Ru 2.65
Ir: 0.0000 0.0000 0.5000 (multiplicity 2)  4 Ni 2.62, 4 Ir 2.65, 4 Ru 2.65
Ir: 0.0000 0.5000 0.7500 (multiplicity 2)  4 Ru 2.62, 4 Ir 2.65, 4 Ni 2.65
Ru: 0.0000 0.5000 0.2500 (multiplicity 2)  8 Ir 2.62-2.65, 4 Ni 2.65

***

[2]
The following is a DFT calculation (PBEsol) of an optimized crystal structure of Ba2TcTe.

Values from the calculation:
total magnetic moment = 4.41 Bohr magnetons per cell
raw formation energy = 0.353 eV per atom
electronic total energy = -70.72 eV for the cell shown

a b c (Å): 7.6069 7.6069 7.6069
angles (deg): 90.00 90.00 90.00
Last column: nearest neighbours and their distance in Å.
Space group F-43m (No. 216)
Asymmetric unit:
Ba: 0.0000 0.0000 0.0000 (multiplicity 4)  4 Ba 3.29, 4 Tc 3.29
Ba: 0.2500 0.2500 0.2500 (multiplicity 4)  4 Ba 3.29, 4 Te 3.29
Tc: 0.2500 0.2500 0.7500 (multiplicity 4)  4 Ba 3.29, 4 Te 3.29
Te: 0.0000 0.0000 0.5000 (multiplicity 4)  4 Ba 3.29, 4 Tc 3.29

***

[3]
The following is a DFT calculation (PBEsol) of an optimized crystal structure of MgZrO2.

Values from the calculation:
total magnetic moment = 0.00 Bohr magnetons per cell
raw formation energy = -2.306 eV per atom
electronic total energy = -91.59 eV for the cell shown

a b c (Å): 3.1918 3.1918 18.3067
angles (deg): 90.00 90.00 120.00
Last column: nearest neighbours and their distance in Å.
Space group R-3m (No. 166, hexagonal axes)
Asymmetric unit:
Mg: 0.0000 0.0000 0.0000 (multiplicity 3)  6 O 2.13
Zr: 0.0000 0.0000 0.5000 (multiplicity 3)  2 O 1.98
O: 0.0000 0.0000 0.3919 (multiplicity 6)  1 Zr 1.98, 3 Mg 2.13

***

[4]
The following is a DFT calculation (PBEsol) of an optimized crystal structure of Tc2PtSe.

Values from the calculation:
total magnetic moment = 0.00 Bohr magnetons per cell
raw formation energy = 0.150 eV per atom
electronic total energy = -32.75 eV for the cell shown

a b c (Å): 2.8453 3.7594 5.6951
angles (deg): 90.00 90.00 90.00
Last column: nearest neighbours and their distance in Å.
Space group Pmm2 (No. 25)
Asymmetric unit:
Tc: 0.0000 0.0000 0.0000 (multiplicity 1)  1 Pt 2.63, 6 Tc 2.64-2.85, 4 Se 2.67
Tc: 0.5000 0.5000 0.2072 (multiplicity 1)  1 Se 2.44, 4 Tc 2.64
Pt: 0.0000 0.0000 0.4610 (multiplicity 1)  5 Tc 2.63-2.77, 2 Pt 2.85
Se: 0.5000 0.5000 0.7790 (multiplicity 1)  5 Tc 2.44-2.67

***

[5]
The following is a DFT calculation (PBEsol) of an optimized crystal structure of Hg2IrBr.

Values from the calculation:
total magnetic moment = 0.00 Bohr magnetons per cell
raw formation energy = 0.562 eV per atom
electronic total energy = -10.58 eV for the cell shown

a b c (Å): 3.0465 3.0465 8.8271
angles (deg): 90.00 90.00 90.00
Last column: nearest neighbours and their distance in Å.
Space group P4mm (No. 99)
Asymmetric unit:
Hg: 0.0000 0.0000 0.0000 (multiplicity 1)  8 Hg 3.05-3.26
Hg: 0.5000 0.5000 0.2770 (multiplicity 1)  4 Ir 2.84, 4 Hg 3.05
Ir: 0.0000 0.0000 0.4860 (multiplicity 1)  4 Br 2.76, 4 Hg 2.84, 4 Ir 3.05
Br: 0.5000 0.5000 0.6822 (multiplicity 1)  4 Ir 2.76, 4 Br 3.05

***

[6]
The following is a DFT calculation (PBEsol) of an optimized crystal structure of BaNaNiH2.

Values from the calculation:
total magnetic moment = 0.00 Bohr magnetons per cell
electronic total energy = -13.95 eV for the cell shown

a b c (Å): 4.2670 4.2670 4.6193
angles (deg): 90.00 90.00 90.00
Last column: nearest neighbours and their distance in Å.
Space group P4/mmm (No. 123)
Asymmetric unit:
Ba: 0.0000 0.0000 0.0000 (multiplicity 1)  4 Na 3.02, 8 H 3.14
Na: 0.5000 0.5000 0.0000 (multiplicity 1)  2 Ni 2.31
Ni: 0.5000 0.5000 0.5000 (multiplicity 1)  4 H 2.13, 2 Na 2.31
H: 0.0000 0.5000 0.5000 (multiplicity 2)  2 Ni 2.13